1.
Below is a geometry-optimized Al2Zn2O5 structure, with properties calculated at the PBE-GGA level.

Cell and atoms, written as POSCAR:
```
Al2Zn2O5
1.0
7.908 0.000 0.000
0.000 3.542 0.000
0.000 0.000 3.542
Al O Zn
2 5 2
direct
0.000 0.000 0.000
0.500 0.000 0.000
0.147 0.500 0.000
0.853 0.500 0.000
0.147 0.000 0.500
0.853 0.000 0.500
0.500 0.500 0.500
0.243 0.500 0.500
0.757 0.500 0.500
```

* SG: P4/mmm, No. 123
* calculated volume: 99.21 Å³ per cell
* raw total energy: -4.9896 eV/atom
* crystal system: tetragonal
* offset from the most stable computed form: 0.738 eV/atom


2.
Below is a geometry-optimized Al2Zn2O5 structure, with properties calculated at the PBE-GGA level.

Cell and atoms, written as POSCAR:
```
Al2Zn2O5
1.0
-3.962 2.695 5.210
-0.232 -3.228 1.493
2.944 0.665 1.895
Al O Zn
2 5 2
direct
0.247 0.500 0.500
0.753 0.500 0.500
0.196 0.500 0.000
0.804 0.500 0.000
0.196 0.000 0.500
0.804 0.000 0.500
0.500 0.500 0.500
0.000 0.000 0.000
0.500 0.000 0.000
```

* SG: P4/mmm, No. 123
* calculated volume: 89.90 Å³ per cell
* raw total energy: -5.7276 eV/atom
* crystal system: tetragonal
* offset from the most stable computed form: 0.000 eV/atom


3.
Below is a geometry-optimized ZrAlO3 structure, with properties calculated at the PBE-GGA level.

Cell and atoms, written as POSCAR:
```
ZrAlO3
1.0
-2.532 4.386 0.000
2.532 4.386 0.000
0.000 2.924 -4.848
Al O Zr
2 6 2
direct
0.846 0.846 0.461
0.154 0.154 0.539
0.951 0.562 0.278
0.209 0.951 0.278
0.562 0.209 0.278
0.438 0.791 0.722
0.791 0.049 0.722
0.049 0.438 0.722
0.647 0.647 0.060
0.353 0.353 0.940
```

* SG: R-3, No. 148
* calculated volume: 107.67 Å³ per cell
* raw total energy: -8.2372 eV/atom
* crystal system: trigonal


4.
Below is a geometry-optimized ZrAl3O structure, with properties calculated at the PBE-GGA level.

Cell and atoms, written as POSCAR:
```
ZrAl3O
1.0
-1.866 -3.768 0.046
3.253 -1.584 2.142
-1.902 0.986 3.618
Al O Zr
3 1 1
direct
0.500 0.500 0.000
0.500 0.000 0.500
0.000 0.500 0.500
0.500 0.500 0.500
0.000 0.000 0.000
```

* SG: Pm-3m, No. 221
* calculated volume: 74.32 Å³ per cell
* raw total energy: -5.6643 eV/atom
* crystal system: cubic


5.
Below is a geometry-optimized AlOs2 structure, with properties calculated at the PBE-GGA level.

Cell and atoms, written as POSCAR:
```
AlOs2
1.0
3.886 2.244 6.346
-3.886 2.244 6.346
0.000 -4.488 6.346
Al Os
2 4
direct
0.250 0.250 0.250
0.500 0.500 0.500
0.875 0.375 0.375
0.375 0.875 0.375
0.375 0.375 0.375
0.375 0.375 0.875
```

* SG: Fd-3m, No. 227
* calculated volume: 332.06 Å³ per cell
* raw total energy: -4.8335 eV/atom
* crystal system: cubic


6.
Below is a geometry-optimized AlOs2 structure, with properties calculated at the PBE-GGA level.

Cell and atoms, written as POSCAR:
```
AlOs2
1.0
-2.089 -4.171 2.146
-5.083 -0.269 0.673
-2.800 -3.225 -2.850
Al Os
2 4
direct
0.000 0.000 0.000
0.250 0.250 0.250
0.625 0.625 0.125
0.625 0.125 0.625
0.125 0.625 0.625
0.625 0.625 0.625
```

* SG: Fd-3m, No. 227
* calculated volume: 95.71 Å³ per cell
* raw total energy: -8.2603 eV/atom
* crystal system: cubic


7.
Below is a geometry-optimized Al2Os structure, with properties calculated at the PBE-GGA level.

Cell and atoms, written as POSCAR:
```
Al2Os
1.0
-5.574 3.091 0.866
-3.210 -5.381 -1.452
0.012 -0.738 2.707
Al Os
4 2
direct
0.274 0.274 0.000
0.726 0.726 0.000
0.774 0.226 0.500
0.226 0.774 0.500
0.000 0.000 0.000
0.500 0.500 0.500
```

* SG: P4_2/mnm, No. 136
* calculated volume: 116.08 Å³ per cell
* raw total energy: -6.1871 eV/atom
* crystal system: tetragonal


8.
Below is a geometry-optimized Al2Os structure, with properties calculated at the PBE-GGA level.

Cell and atoms, written as POSCAR:
```
Al2Os
1.0
0.000 3.481 3.481
3.481 0.000 3.481
3.481 3.481 0.000
Al Os
4 2
direct
0.625 0.625 0.125
0.625 0.125 0.625
0.125 0.625 0.625
0.625 0.625 0.625
0.000 0.000 0.000
0.250 0.250 0.250
```

* SG: Fd-3m, No. 227
* calculated volume: 84.39 Å³ per cell
* raw total energy: -6.0385 eV/atom
* crystal system: cubic


9.
Below is a geometry-optimized Al2Os structure, with properties calculated at the PBE-GGA level.

Cell and atoms, written as POSCAR:
```
Al2Os
1.0
0.046 0.283 4.155
-2.737 2.460 1.950
-3.085 -1.681 2.236
Al Os
2 1
direct
0.250 0.250 0.250
0.750 0.750 0.750
0.000 0.000 0.000
```

* SG: Fm-3m, No. 225
* calculated volume: 51.08 Å³ per cell
* raw total energy: -6.4394 eV/atom
* crystal system: cubic


10.
Below is a geometry-optimized Al3Os structure, with properties calculated at the PBE-GGA level.

Cell and atoms, written as POSCAR:
```
Al3Os
1.0
4.375 1.765 -0.233
0.745 2.734 3.778
-1.609 -4.423 -0.387
Al Os
3 1
direct
0.500 0.500 0.000
0.750 0.250 0.500
0.250 0.750 0.500
0.000 0.000 0.000
```

* SG: I4/mmm, No. 139
* calculated volume: 58.01 Å³ per cell
* raw total energy: -5.9173 eV/atom
* crystal system: tetragonal


11.
Below is a geometry-optimized Al2Os structure, with properties calculated at the PBE-GGA level.

Cell and atoms, written as POSCAR:
```
Al2Os
1.0
0.655 1.096 2.914
0.865 2.796 -1.247
-4.678 -0.573 -0.469
Al Os
2 1
direct
0.662 0.662 0.323
0.338 0.338 0.677
0.000 0.000 0.000
```

* SG: I4/mmm, No. 139
* calculated volume: 42.17 Å³ per cell
* raw total energy: -6.8010 eV/atom
* crystal system: tetragonal


12.
Below is a geometry-optimized AlOs2 structure, with properties calculated at the PBE-GGA level.

Cell and atoms, written as POSCAR:
```
AlOs2
1.0
0.000 2.882 2.882
2.882 0.000 2.882
2.882 2.882 0.000
Al Os
1 2
direct
0.000 0.000 0.000
0.250 0.250 0.250
0.750 0.750 0.750
```

* SG: Fm-3m, No. 225
* calculated volume: 47.86 Å³ per cell
* raw total energy: -8.0708 eV/atom
* crystal system: cubic


13.
Below is a geometry-optimized Al2Os structure, with properties calculated at the PBE-GGA level.

Cell and atoms, written as POSCAR:
```
Al2Os
1.0
-7.429 1.203 1.597
-5.172 -5.531 -1.361
-3.319 -3.694 5.876
Al Os
4 2
direct
0.875 0.375 0.375
0.375 0.875 0.375
0.375 0.375 0.375
0.375 0.375 0.875
0.250 0.250 0.250
0.500 0.500 0.500
```

* SG: Fd-3m, No. 227
* calculated volume: 322.03 Å³ per cell
* raw total energy: -4.9775 eV/atom
* crystal system: cubic


14.
Below is a geometry-optimized PaAlOs structure, with properties calculated at the PBE-GGA level.

Cell and atoms, written as POSCAR:
```
PaAlOs
1.0
0.000 3.207 3.207
3.207 0.000 3.207
3.207 3.207 0.000
Al Os Pa
1 1 1
direct
0.250 0.250 0.250
0.000 0.000 0.000
0.750 0.750 0.750
```

* SG: F-43m, No. 216
* calculated volume: 65.94 Å³ per cell
* raw total energy: -8.3623 eV/atom
* crystal system: cubic


15.
Below is a geometry-optimized PaAlOs structure, with properties calculated at the PBE-GGA level.

Cell and atoms, written as POSCAR:
```
PaAlOs
1.0
0.000 3.261 3.261
3.261 0.000 3.261
3.261 3.261 0.000
Al Os Pa
1 1 1
direct
0.500 0.500 0.500
0.000 0.000 0.000
0.250 0.250 0.250
```

* SG: F-43m, No. 216
* calculated volume: 69.35 Å³ per cell
* raw total energy: -7.4930 eV/atom
* crystal system: cubic


16.
Below is a geometry-optimized AlOsPd2 structure, with properties calculated at the PBE-GGA level.

Cell and atoms, written as POSCAR:
```
AlOsPd2
1.0
-2.774 -2.860 1.777
-3.808 1.375 1.624
-3.726 -0.984 -2.045
Al Os Pd
1 1 2
direct
0.500 0.500 0.500
0.250 0.250 0.250
0.000 0.000 0.000
0.750 0.750 0.750
```

* SG: F-43m, No. 216
* calculated volume: 58.70 Å³ per cell
* raw total energy: -6.4060 eV/atom
* crystal system: cubic


17.
Below is a geometry-optimized AlOsPd structure, with properties calculated at the PBE-GGA level.

Cell and atoms, written as POSCAR:
```
AlOsPd
1.0
0.721 -3.764 -1.457
-2.320 -1.506 -3.027
1.582 -0.477 -3.752
Al Os Pd
1 1 1
direct
0.000 0.000 0.000
0.250 0.250 0.250
0.750 0.750 0.750
```

* SG: F-43m, No. 216
* calculated volume: 48.73 Å³ per cell
* raw total energy: -6.5243 eV/atom
* crystal system: cubic
* offset from the most stable computed form: 0.000 eV/atom


18.
Below is a geometry-optimized Al2OsPd structure, with properties calculated at the PBE-GGA level.

Cell and atoms, written as POSCAR:
```
Al2OsPd
1.0
-2.347 -1.102 -1.640
-1.635 -0.347 2.572
-2.163 5.542 -0.627
Al Os Pd
2 1 1
direct
0.500 0.500 0.234
0.500 0.500 0.766
0.000 0.000 0.000
0.000 0.000 0.500
```

* SG: P4/mmm, No. 123
* calculated volume: 56.29 Å³ per cell
* raw total energy: -6.6726 eV/atom
* crystal system: tetragonal


19.
Below is a geometry-optimized Pm4AlOs2 structure, with properties calculated at the PBE-GGA level.

Cell and atoms, written as POSCAR:
```
Pm4AlOs2
1.0
-4.947 4.811 -2.654
-1.648 -6.050 -3.918
-2.262 -0.976 2.479
Al Os Pm
1 2 4
direct
0.000 0.000 0.000
0.500 0.000 0.500
0.000 0.500 0.500
0.742 0.258 0.000
0.258 0.742 0.000
0.267 0.267 0.500
0.733 0.733 0.500
```

* SG: C2/m, No. 12
* calculated volume: 187.43 Å³ per cell
* raw total energy: -6.2341 eV/atom
* crystal system: monoclinic


20.
Below is a geometry-optimized PmAlOs structure, with properties calculated at the PBE-GGA level.

Cell and atoms, written as POSCAR:
```
PmAlOs
1.0
0.000 3.194 3.194
3.194 0.000 3.194
3.194 3.194 0.000
Al Os Pm
1 1 1
direct
0.000 0.000 0.000
0.250 0.250 0.250
0.750 0.750 0.750
```

* SG: F-43m, No. 216
* calculated volume: 65.18 Å³ per cell
* raw total energy: -6.3022 eV/atom
* crystal system: cubic
* offset from the most stable computed form: 0.000 eV/atom


21.
Below is a geometry-optimized PmAlOs structure, with properties calculated at the PBE-GGA level.

Cell and atoms, written as POSCAR:
```
PmAlOs
1.0
-3.345 -3.295 -0.131
-4.045 0.847 -2.233
-0.964 -2.210 -4.031
Al Os Pm
1 1 1
direct
0.250 0.250 0.250
0.750 0.750 0.750
0.000 0.000 0.000
```

* SG: F-43m, No. 216
* calculated volume: 73.28 Å³ per cell
* raw total energy: -5.6172 eV/atom
* crystal system: cubic
* offset from the most stable computed form: 0.685 eV/atom


22.
Below is a geometry-optimized PrAlOs structure, with properties calculated at the PBE-GGA level.

Cell and atoms, written as POSCAR:
```
PrAlOs
1.0
0.000 3.227 3.227
3.227 0.000 3.227
3.227 3.227 0.000
Al Os Pr
1 1 1
direct
0.000 0.000 0.000
0.250 0.250 0.250
0.750 0.750 0.750
```

* SG: F-43m, No. 216
* calculated volume: 67.24 Å³ per cell
* raw total energy: -6.2386 eV/atom
* crystal system: cubic


23.
Below is a geometry-optimized PrAlOs structure, with properties calculated at the PBE-GGA level.

Cell and atoms, written as POSCAR:
```
PrAlOs
1.0
-4.384 -1.431 -1.151
-3.372 3.209 -0.960
-1.580 0.527 -4.452
Al Os Pr
1 1 1
direct
0.250 0.250 0.250
0.750 0.750 0.750
0.000 0.000 0.000
```

* SG: F-43m, No. 216
* calculated volume: 75.93 Å³ per cell
* raw total energy: -5.5494 eV/atom
* crystal system: cubic


24.
Below is a geometry-optimized PrAl2Os2 structure, with properties calculated at the PBE-GGA level.

Cell and atoms, written as POSCAR:
```
PrAl2Os2
1.0
-0.142 1.658 3.963
-2.649 -3.155 1.225
5.447 -2.130 -1.244
Al Os Pr
2 2 1
direct
0.630 0.630 0.260
0.370 0.370 0.740
0.750 0.250 0.500
0.250 0.750 0.500
0.000 0.000 0.000
```

* SG: I4/mmm, No. 139
* calculated volume: 95.13 Å³ per cell
* raw total energy: -7.1452 eV/atom
* crystal system: tetragonal


25.
Below is a geometry-optimized PuAlOs structure, with properties calculated at the PBE-GGA level.

Cell and atoms, written as POSCAR:
```
PuAlOs
1.0
0.000 3.162 3.162
3.162 0.000 3.162
3.162 3.162 0.000
Al Os Pu
1 1 1
direct
0.000 0.000 0.000
0.500 0.500 0.500
0.750 0.750 0.750
```

* SG: F-43m, No. 216
* calculated volume: 63.20 Å³ per cell
* raw total energy: -8.9509 eV/atom
* crystal system: cubic


26.
Below is a geometry-optimized PuAlOs structure, with properties calculated at the PBE-GGA level.

Cell and atoms, written as POSCAR:
```
PuAlOs
1.0
2.162 -0.797 3.786
-1.881 1.016 3.882
-1.382 -3.228 2.704
Al Os Pu
1 1 1
direct
0.250 0.250 0.250
0.000 0.000 0.000
0.750 0.750 0.750
```

* SG: F-43m, No. 216
* calculated volume: 61.56 Å³ per cell
* raw total energy: -9.7488 eV/atom
* crystal system: cubic


27.
Below is a geometry-optimized RbAlOs structure, with properties calculated at the PBE-GGA level.

Cell and atoms, written as POSCAR:
```
RbAlOs
1.0
0.318 -3.560 -3.076
-2.935 -0.200 -3.685
1.627 0.785 -4.356
Al Os Rb
1 1 1
direct
0.000 0.000 0.000
0.250 0.250 0.250
0.750 0.750 0.750
```

* SG: F-43m, No. 216
* calculated volume: 74.15 Å³ per cell
* raw total energy: -3.6502 eV/atom
* crystal system: cubic
* offset from the most stable computed form: 0.227 eV/atom


28.
Below is a geometry-optimized RbAlOs structure, with properties calculated at the PBE-GGA level.

Cell and atoms, written as POSCAR:
```
RbAlOs
1.0
0.000 3.643 3.643
3.643 0.000 3.643
3.643 3.643 0.000
Al Os Rb
1 1 1
direct
0.250 0.250 0.250
0.750 0.750 0.750
0.000 0.000 0.000
```

* SG: F-43m, No. 216
* calculated volume: 96.73 Å³ per cell
* raw total energy: -2.8080 eV/atom
* crystal system: cubic
* offset from the most stable computed form: 1.069 eV/atom


29.
Below is a geometry-optimized RbAlOs structure, with properties calculated at the PBE-GGA level.

Cell and atoms, written as POSCAR:
```
RbAlOs
1.0
3.544 -2.602 1.470
0.276 -4.457 -1.245
3.264 -1.373 -2.991
Al Os Rb
1 1 1
direct
0.250 0.250 0.250
0.000 0.000 0.000
0.750 0.750 0.750
```

* SG: F-43m, No. 216
* calculated volume: 70.45 Å³ per cell
* raw total energy: -3.8775 eV/atom
* crystal system: cubic
* offset from the most stable computed form: 0.000 eV/atom


30.
Below is a geometry-optimized AlReOs2 structure, with properties calculated at the PBE-GGA level.

Cell and atoms, written as POSCAR:
```
AlReOs2
1.0
0.000 3.069 3.069
3.069 0.000 3.069
3.069 3.069 0.000
Al Os Re
1 2 1
direct
0.500 0.500 0.500
0.000 0.000 0.000
0.750 0.750 0.750
0.250 0.250 0.250
```

* SG: F-43m, No. 216
* calculated volume: 57.83 Å³ per cell
* raw total energy: -9.4867 eV/atom
* crystal system: cubic